(1)
Density functional theory data (PBE) for an optimized crystal structure of Ac3AgPd8.

E_form   -8.226 eV/f.u.
DOS(E_F)   6.627 states/eV/f.u.
Volume   249 Å³ per cell

Cell lengths 5.596, 5.596, 9.729 Å; angles 73.29, 73.29, 60.00 degrees
Positions (direct):
Ac 0.379 0.379 0.864
Ac 0.987 0.987 0.039
Ac 0.510 0.510 0.470
Ag 0.866 0.866 0.403
Pd 0.942 0.437 0.184
Pd 0.439 0.938 0.685
Pd 0.437 0.437 0.184
Pd 0.938 0.938 0.685
Pd 0.189 0.189 0.434
Pd 0.688 0.688 0.935
Pd 0.437 0.942 0.184
Pd 0.938 0.439 0.685

***

(2)
Density functional theory data (PBE) for an optimized crystal structure of K6CaCl8.

DOS(E_F)   0.000 states/eV/f.u.
Volume   467 Å³ per cell
Energy relative to the elements, uncorrected   -2.016 eV/atom

Cell lengths 8.227, 8.227, 8.227 Å; angles 68.89, 68.89, 68.89 degrees
Positions (direct):
K 0.061 0.487 0.695
K 0.305 0.939 0.513
K 0.513 0.305 0.939
K 0.487 0.695 0.061
K 0.695 0.061 0.487
K 0.939 0.513 0.305
Ca 0.000 0.000 0.000
Cl 0.164 0.678 0.903
Cl 0.097 0.836 0.322
Cl 0.322 0.097 0.836
Cl 0.660 0.660 0.660
Cl 0.340 0.340 0.340
Cl 0.678 0.903 0.164
Cl 0.903 0.164 0.678
Cl 0.836 0.322 0.097

***

(3)
Density functional theory data (PBE) for an optimized crystal structure of MgTe4W.

DOS(E_F)   4.398 states/eV/f.u.
Volume   175 Å³ per cell
Energy relative to the elements, uncorrected   1.191 eV/atom

Cell lengths 6.275, 6.275, 6.275 Å; angles 60.00, 60.00, 60.00 degrees
Positions (direct):
Mg 0.000 0.000 0.000
Te 0.873 0.376 0.376
Te 0.376 0.376 0.873
Te 0.376 0.873 0.376
Te 0.376 0.376 0.376
W 0.750 0.750 0.750

***

(4)
Density functional theory data (PBE) for an optimized crystal structure of EuO.

DOS(E_F)   3.876 states/eV/f.u.
Volume   33 Å³ per cell
Energy relative to the elements, uncorrected   -2.783 eV/atom

Cell lengths 3.593, 3.593, 3.593 Å; angles 60.00, 60.00, 60.00 degrees
Positions (direct):
Eu 0.000 0.000 0.000
O 0.500 0.500 0.500

***

(5)
Density functional theory data (PBE) for an optimized crystal structure of Pr2IrI2.

DOS(E_F)   3.471 states/eV/f.u.
Volume   184 Å³ per cell
Energy relative to the elements, uncorrected   -1.004 eV/atom

Cell lengths 4.255, 4.255, 11.989 Å; angles 79.78, 79.78, 60.00 degrees
Positions (direct):
Pr 0.379 0.379 0.863
Pr 0.621 0.621 0.137
Ir 0.000 0.000 0.000
I 0.891 0.891 0.327
I 0.109 0.109 0.673

***

The highest volume belongs to which entry?
K6CaCl8

***

Which formula does entry 1 have?
Ac3AgPd8